# 1
# PBE SrSc2Tl, optimized geometry
# * energy relative to the elements: 50 meV/atom
# * crystal system: tetragonal
# * offset from the most stable computed form: 0.1120 eV per atom
# * calculated volume: 118.71 Å³/cell
data_SrSc2Tl
_chemical_formula_sum 'Sr1 Sc2 Tl1'
_cell_length_a 3.554
_cell_length_b 3.554
_cell_length_c 9.397
_cell_angle_alpha 90.00
_cell_angle_beta 90.00
_cell_angle_gamma 90.00
_symmetry_space_group_name_H-M 'P 1'
_symmetry_Int_Tables_number 1
_symmetry_space_group_name_Hall 'P 1'
loop_
_atom_site_label
_atom_site_fract_x
_atom_site_fract_y
_atom_site_fract_z
Sr1 0.000 0.000 0.000
Sc1 0.500 0.500 0.305
Sc2 0.500 0.500 0.695
Tl1 0.000 0.000 0.500



# 2
# PBE SrScTl, optimized geometry
# * energy relative to the elements: -97 meV/atom
# * crystal system: tetragonal
# * calculated volume: 95.25 Å³/cell
data_SrScTl
_chemical_formula_sum 'Sr1 Sc1 Tl1'
_cell_length_a 7.057
_cell_length_b 7.057
_cell_length_c 7.057
_cell_angle_alpha 148.57
_cell_angle_beta 148.57
_cell_angle_gamma 45.05
_symmetry_space_group_name_H-M 'P 1'
_symmetry_Int_Tables_number 1
_symmetry_space_group_name_Hall 'P 1'
loop_
_atom_site_label
_atom_site_fract_x
_atom_site_fract_y
_atom_site_fract_z
Sr1 0.000 0.000 0.000
Sc1 0.287 0.287 0.000
Tl1 0.680 0.680 0.000



# 3
# PBE SrSc4Tl5, optimized geometry
# * energy relative to the elements: -277 meV/atom
# * crystal system: tetragonal
# * calculated volume: 252.88 Å³/cell
data_SrSc4Tl5
_chemical_formula_sum 'Sr1 Sc4 Tl5'
_cell_length_a 3.689
_cell_length_b 3.689
_cell_length_c 18.582
_cell_angle_alpha 90.00
_cell_angle_beta 90.00
_cell_angle_gamma 90.00
_symmetry_space_group_name_H-M 'P 1'
_symmetry_Int_Tables_number 1
_symmetry_space_group_name_Hall 'P 1'
loop_
_atom_site_label
_atom_site_fract_x
_atom_site_fract_y
_atom_site_fract_z
Sr1 0.000 0.000 0.000
Sc1 0.000 0.000 0.218
Sc2 0.000 0.000 0.406
Sc3 0.000 0.000 0.594
Sc4 0.000 0.000 0.782
Tl1 0.500 0.500 0.124
Tl2 0.500 0.500 0.312
Tl3 0.500 0.500 0.500
Tl4 0.500 0.500 0.688
Tl5 0.500 0.500 0.876



# 4
# PBE SrSc2Tl, optimized geometry
# * energy relative to the elements: 279 meV/atom
# * crystal system: tetragonal
# * offset from the most stable computed form: 0.3407 eV per atom
# * calculated volume: 241.83 Å³/cell
data_SrSc2Tl
_chemical_formula_sum 'Sr2 Sc4 Tl2'
_cell_length_a 11.784
_cell_length_b 11.784
_cell_length_c 11.784
_cell_angle_alpha 157.38
_cell_angle_beta 157.38
_cell_angle_gamma 32.20
_symmetry_space_group_name_H-M 'P 1'
_symmetry_Int_Tables_number 1
_symmetry_space_group_name_Hall 'P 1'
loop_
_atom_site_label
_atom_site_fract_x
_atom_site_fract_y
_atom_site_fract_z
Sr1 0.000 0.000 0.000
Sr2 0.750 0.250 0.500
Sc1 0.156 0.625 0.031
Sc2 0.375 0.406 0.531
Sc3 0.594 0.125 0.969
Sc4 0.875 0.844 0.469
Tl1 0.250 0.750 0.500
Tl2 0.500 0.500 0.000



# 5
# PBE SrScTl, optimized geometry
# * energy relative to the elements: -74 meV/atom
# * crystal system: triclinic
# * calculated volume: 188.49 Å³/cell
data_SrScTl
_chemical_formula_sum 'Sr2 Sc2 Tl2'
_cell_length_a 5.184
_cell_length_b 6.600
_cell_length_c 6.953
_cell_angle_alpha 117.88
_cell_angle_beta 90.04
_cell_angle_gamma 113.05
_symmetry_space_group_name_H-M 'P 1'
_symmetry_Int_Tables_number 1
_symmetry_space_group_name_Hall 'P 1'
loop_
_atom_site_label
_atom_site_fract_x
_atom_site_fract_y
_atom_site_fract_z
Sr1 0.000 0.000 0.000
Sr2 0.356 0.712 0.196
Sc1 0.272 0.544 0.605
Sc2 0.643 0.288 0.759
Tl1 0.009 0.018 0.544
Tl2 0.700 0.401 0.327



# 6
# PBE SrScTlZn, optimized geometry
# * energy relative to the elements: -179 meV/atom
# * crystal system: cubic
# * calculated volume: 105.34 Å³/cell
data_SrScTlZn
_chemical_formula_sum 'Sr1 Sc1 Tl1 Zn1'
_cell_length_a 5.301
_cell_length_b 5.301
_cell_length_c 5.301
_cell_angle_alpha 60.00
_cell_angle_beta 60.00
_cell_angle_gamma 60.00
_symmetry_space_group_name_H-M 'P 1'
_symmetry_Int_Tables_number 1
_symmetry_space_group_name_Hall 'P 1'
loop_
_atom_site_label
_atom_site_fract_x
_atom_site_fract_y
_atom_site_fract_z
Sr1 0.000 0.000 0.000
Sc1 0.500 0.500 0.500
Tl1 0.250 0.250 0.250
Zn1 0.750 0.750 0.750



# 7
# PBE Sr2ZrScTl, optimized geometry
# * energy relative to the elements: 912 meV/atom
# * crystal system: tetragonal
# * calculated volume: 201.48 Å³/cell
data_Sr2ZrScTl
_chemical_formula_sum 'Sr2 Zr1 Sc1 Tl1'
_cell_length_a 5.981
_cell_length_b 5.981
_cell_length_c 5.632
_cell_angle_alpha 90.00
_cell_angle_beta 90.00
_cell_angle_gamma 90.00
_symmetry_space_group_name_H-M 'P 1'
_symmetry_Int_Tables_number 1
_symmetry_space_group_name_Hall 'P 1'
loop_
_atom_site_label
_atom_site_fract_x
_atom_site_fract_y
_atom_site_fract_z
Sr1 0.000 0.500 0.000
Sr2 0.500 0.000 0.000
Zr1 0.000 0.000 0.000
Sc1 0.500 0.500 0.500
Tl1 0.000 0.000 0.500



# 8
# PBE SrTm2Sc, optimized geometry
# * energy relative to the elements: 269 meV/atom
# * crystal system: trigonal
# * offset from the most stable computed form: 0.1427 eV per atom
# * calculated volume: 131.40 Å³/cell
data_SrTm2Sc
_chemical_formula_sum 'Sr1 Tm2 Sc1'
_cell_length_a 12.485
_cell_length_b 12.485
_cell_length_c 12.485
_cell_angle_alpha 16.16
_cell_angle_beta 16.16
_cell_angle_gamma 16.16
_symmetry_space_group_name_H-M 'P 1'
_symmetry_Int_Tables_number 1
_symmetry_space_group_name_Hall 'P 1'
loop_
_atom_site_label
_atom_site_fract_x
_atom_site_fract_y
_atom_site_fract_z
Sr1 0.000 0.000 0.000
Tm1 0.096 0.096 0.096
Tm2 0.904 0.904 0.904
Sc1 0.500 0.500 0.500



# 9
# PBE SrTm2Sc, optimized geometry
# * energy relative to the elements: 127 meV/atom
# * crystal system: tetragonal
# * offset from the most stable computed form: 0.0000 eV per atom
# * calculated volume: 135.56 Å³/cell
data_SrTm2Sc
_chemical_formula_sum 'Sr1 Tm2 Sc1'
_cell_length_a 3.845
_cell_length_b 3.845
_cell_length_c 9.167
_cell_angle_alpha 90.00
_cell_angle_beta 90.00
_cell_angle_gamma 90.00
_symmetry_space_group_name_H-M 'P 1'
_symmetry_Int_Tables_number 1
_symmetry_space_group_name_Hall 'P 1'
loop_
_atom_site_label
_atom_site_fract_x
_atom_site_fract_y
_atom_site_fract_z
Sr1 0.000 0.000 0.000
Tm1 0.500 0.500 0.308
Tm2 0.500 0.500 0.692
Sc1 0.000 0.000 0.500



# 10
# PBE SrSc3V, optimized geometry
# * energy relative to the elements: 1621 meV/atom
# * crystal system: cubic
# * offset from the most stable computed form: 1.2559 eV per atom
# * calculated volume: 134.37 Å³/cell
data_SrSc3V
_chemical_formula_sum 'Sr1 Sc3 V1'
_cell_length_a 5.122
_cell_length_b 5.122
_cell_length_c 5.122
_cell_angle_alpha 90.00
_cell_angle_beta 90.00
_cell_angle_gamma 90.00
_symmetry_space_group_name_H-M 'P 1'
_symmetry_Int_Tables_number 1
_symmetry_space_group_name_Hall 'P 1'
loop_
_atom_site_label
_atom_site_fract_x
_atom_site_fract_y
_atom_site_fract_z
Sr1 0.000 0.000 0.000
Sc1 0.000 0.000 0.500
Sc2 0.000 0.500 0.000
Sc3 0.500 0.000 0.000
V1 0.500 0.500 0.500



# 11
# PBE SrScV2, optimized geometry
# * energy relative to the elements: 1149 meV/atom
# * crystal system: tetragonal
# * offset from the most stable computed form: 0.2895 eV per atom
# * calculated volume: 211.78 Å³/cell
data_SrScV2
_chemical_formula_sum 'Sr2 Sc2 V4'
_cell_length_a 10.640
_cell_length_b 10.640
_cell_length_c 10.640
_cell_angle_alpha 155.19
_cell_angle_beta 155.19
_cell_angle_gamma 35.37
_symmetry_space_group_name_H-M 'P 1'
_symmetry_Int_Tables_number 1
_symmetry_space_group_name_Hall 'P 1'
loop_
_atom_site_label
_atom_site_fract_x
_atom_site_fract_y
_atom_site_fract_z
Sr1 0.000 0.000 0.000
Sr2 0.750 0.250 0.500
Sc1 0.250 0.750 0.500
Sc2 0.500 0.500 0.000
V1 0.354 0.625 0.229
V2 0.375 0.604 0.729
V3 0.396 0.125 0.771
V4 0.875 0.646 0.271



# 12
# PBE Sr3ScV, optimized geometry
# * energy relative to the elements: 1301 meV/atom
# * crystal system: cubic
# * offset from the most stable computed form: 0.4059 eV per atom
# * calculated volume: 248.74 Å³/cell
data_Sr3ScV
_chemical_formula_sum 'Sr3 Sc1 V1'
_cell_length_a 6.289
_cell_length_b 6.289
_cell_length_c 6.289
_cell_angle_alpha 90.00
_cell_angle_beta 90.00
_cell_angle_gamma 90.00
_symmetry_space_group_name_H-M 'P 1'
_symmetry_Int_Tables_number 1
_symmetry_space_group_name_Hall 'P 1'
loop_
_atom_site_label
_atom_site_fract_x
_atom_site_fract_y
_atom_site_fract_z
Sr1 0.000 0.000 0.500
Sr2 0.000 0.500 0.000
Sr3 0.500 0.000 0.000
Sc1 0.000 0.000 0.000
V1 0.500 0.500 0.500



# 13
# PBE SrSc2V, optimized geometry
# * energy relative to the elements: 979 meV/atom
# * crystal system: tetragonal
# * offset from the most stable computed form: 0.4451 eV per atom
# * calculated volume: 267.62 Å³/cell
data_SrSc2V
_chemical_formula_sum 'Sr2 Sc4 V2'
_cell_length_a 7.236
_cell_length_b 7.236
_cell_length_c 7.236
_cell_angle_alpha 120.08
_cell_angle_beta 120.08
_cell_angle_gamma 89.87
_symmetry_space_group_name_H-M 'P 1'
_symmetry_Int_Tables_number 1
_symmetry_space_group_name_Hall 'P 1'
loop_
_atom_site_label
_atom_site_fract_x
_atom_site_fract_y
_atom_site_fract_z
Sr1 0.375 0.625 0.750
Sr2 0.625 0.375 0.250
Sc1 0.000 0.000 0.000
Sc2 0.000 0.000 0.500
Sc3 0.000 0.500 0.000
Sc4 0.500 0.000 0.500
V1 0.125 0.875 0.250
V2 0.875 0.125 0.750



# 14
# PBE SrSc2V, optimized geometry
# * energy relative to the elements: 534 meV/atom
# * crystal system: cubic
# * offset from the most stable computed form: 0.0000 eV per atom
# * calculated volume: 102.99 Å³/cell
data_SrSc2V
_chemical_formula_sum 'Sr1 Sc2 V1'
_cell_length_a 5.261
_cell_length_b 5.261
_cell_length_c 5.261
_cell_angle_alpha 60.00
_cell_angle_beta 60.00
_cell_angle_gamma 60.00
_symmetry_space_group_name_H-M 'P 1'
_symmetry_Int_Tables_number 1
_symmetry_space_group_name_Hall 'P 1'
loop_
_atom_site_label
_atom_site_fract_x
_atom_site_fract_y
_atom_site_fract_z
Sr1 0.000 0.000 0.000
Sc1 0.250 0.250 0.250
Sc2 0.750 0.750 0.750
V1 0.500 0.500 0.500



# 15
# PBE Sr3ScV, optimized geometry
# * energy relative to the elements: 896 meV/atom
# * crystal system: cubic
# * offset from the most stable computed form: 0.0000 eV per atom
# * calculated volume: 224.53 Å³/cell
data_Sr3ScV
_chemical_formula_sum 'Sr3 Sc1 V1'
_cell_length_a 6.078
_cell_length_b 6.078
_cell_length_c 6.078
_cell_angle_alpha 90.00
_cell_angle_beta 90.00
_cell_angle_gamma 90.00
_symmetry_space_group_name_H-M 'P 1'
_symmetry_Int_Tables_number 1
_symmetry_space_group_name_Hall 'P 1'
loop_
_atom_site_label
_atom_site_fract_x
_atom_site_fract_y
_atom_site_fract_z
Sr1 0.000 0.000 0.500
Sr2 0.000 0.500 0.000
Sr3 0.500 0.000 0.000
Sc1 0.500 0.500 0.500
V1 0.000 0.000 0.000



# 16
# PBE SrSc3V, optimized geometry
# * energy relative to the elements: 366 meV/atom
# * crystal system: cubic
# * offset from the most stable computed form: 0.0000 eV per atom
# * calculated volume: 141.67 Å³/cell
data_SrSc3V
_chemical_formula_sum 'Sr1 Sc3 V1'
_cell_length_a 5.213
_cell_length_b 5.213
_cell_length_c 5.213
_cell_angle_alpha 90.00
_cell_angle_beta 90.00
_cell_angle_gamma 90.00
_symmetry_space_group_name_H-M 'P 1'
_symmetry_Int_Tables_number 1
_symmetry_space_group_name_Hall 'P 1'
loop_
_atom_site_label
_atom_site_fract_x
_atom_site_fract_y
_atom_site_fract_z
Sr1 0.000 0.000 0.000
Sc1 0.000 0.500 0.500
Sc2 0.500 0.000 0.500
Sc3 0.500 0.500 0.000
V1 0.500 0.500 0.500



# 17
# PBE Sr2ScV, optimized geometry
# * energy relative to the elements: 922 meV/atom
# * crystal system: tetragonal
# * offset from the most stable computed form: 0.1936 eV per atom
# * calculated volume: 268.88 Å³/cell
data_Sr2ScV
_chemical_formula_sum 'Sr4 Sc2 V2'
_cell_length_a 7.189
_cell_length_b 7.189
_cell_length_c 7.189
_cell_angle_alpha 102.09
_cell_angle_beta 102.09
_cell_angle_gamma 125.52
_symmetry_space_group_name_H-M 'P 1'
_symmetry_Int_Tables_number 1
_symmetry_space_group_name_Hall 'P 1'
loop_
_atom_site_label
_atom_site_fract_x
_atom_site_fract_y
_atom_site_fract_z
Sr1 0.097 0.125 0.472
Sr2 0.375 0.903 0.028
Sr3 0.653 0.625 0.528
Sr4 0.875 0.347 0.972
Sc1 0.250 0.750 0.500
Sc2 0.500 0.500 0.000
V1 0.000 0.000 0.000
V2 0.750 0.250 0.500



# 18
# PBE SrSc2V, optimized geometry
# * energy relative to the elements: 548 meV/atom
# * crystal system: trigonal
# * offset from the most stable computed form: 0.0144 eV per atom
# * calculated volume: 106.15 Å³/cell
data_SrSc2V
_chemical_formula_sum 'Sr1 Sc2 V1'
_cell_length_a 11.123
_cell_length_b 11.123
_cell_length_c 11.123
_cell_angle_alpha 17.30
_cell_angle_beta 17.30
_cell_angle_gamma 17.30
_symmetry_space_group_name_H-M 'P 1'
_symmetry_Int_Tables_number 1
_symmetry_space_group_name_Hall 'P 1'
loop_
_atom_site_label
_atom_site_fract_x
_atom_site_fract_y
_atom_site_fract_z
Sr1 0.000 0.000 0.000
Sc1 0.104 0.104 0.104
Sc2 0.896 0.896 0.896
V1 0.500 0.500 0.500



# 19
# PBE Sr2ScV, optimized geometry
# * energy relative to the elements: 728 meV/atom
# * crystal system: cubic
# * offset from the most stable computed form: 0.0000 eV per atom
# * calculated volume: 132.73 Å³/cell
data_Sr2ScV
_chemical_formula_sum 'Sr2 Sc1 V1'
_cell_length_a 5.726
_cell_length_b 5.726
_cell_length_c 5.726
_cell_angle_alpha 60.00
_cell_angle_beta 60.00
_cell_angle_gamma 60.00
_symmetry_space_group_name_H-M 'P 1'
_symmetry_Int_Tables_number 1
_symmetry_space_group_name_Hall 'P 1'
loop_
_atom_site_label
_atom_site_fract_x
_atom_site_fract_y
_atom_site_fract_z
Sr1 0.250 0.250 0.250
Sr2 0.750 0.750 0.750
Sc1 0.000 0.000 0.000
V1 0.500 0.500 0.500



# 20
# PBE SrScV2, optimized geometry
# * energy relative to the elements: 860 meV/atom
# * crystal system: cubic
# * offset from the most stable computed form: 0.0000 eV per atom
# * calculated volume: 96.51 Å³/cell
data_SrScV2
_chemical_formula_sum 'Sr1 Sc1 V2'
_cell_length_a 5.149
_cell_length_b 5.149
_cell_length_c 5.149
_cell_angle_alpha 60.00
_cell_angle_beta 60.00
_cell_angle_gamma 60.00
_symmetry_space_group_name_H-M 'P 1'
_symmetry_Int_Tables_number 1
_symmetry_space_group_name_Hall 'P 1'
loop_
_atom_site_label
_atom_site_fract_x
_atom_site_fract_y
_atom_site_fract_z
Sr1 0.000 0.000 0.000
Sc1 0.500 0.500 0.500
V1 0.250 0.250 0.250
V2 0.750 0.750 0.750